ZrCuHgGe | GGA-PBE | optimized geometry

Geometry as CIF:
```
data_ZrCuHgGe
_symmetry_space_group_name_H-M 'F -4 3 m'
_symmetry_Int_Tables_number 216
_symmetry_space_group_name_Hall 'F -4 2 3'
_cell_length_a 6.7277
_cell_length_b 6.7277
_cell_length_c 6.7277
_cell_angle_alpha 90.00
_cell_angle_beta 90.00
_cell_angle_gamma 90.00
loop_
_atom_site_label
_atom_site_fract_x
_atom_site_fract_y
_atom_site_fract_z
Zr1 0.0000 0.0000 0.0000
Cu1 0.2500 0.2500 0.7500
Hg1 0.2500 0.2500 0.2500
Ge1 0.0000 0.0000 0.5000
```

Summary:
Total magnetic moment ... 0.02 μB per cell
E_tot ... -4.121 eV per atom